# 1
This record from Alexandria via LeMat-Bulk describes an optimized crystal structure of AlNi4Pt. The functional is PBE.

## Properties
E_tot in eV per atom: -5.820

Cell: 6.4778 5.1349 7.4209 Å, 110.24 136.89 90.00°
Element x y z (fractional)
Al1 0.9411 0.1357 0.2714
Al2 0.0589 0.8643 0.7286
Ni1 0.4594 0.6422 0.7819
Ni2 0.4594 0.1397 0.7819
Ni3 0.5076 0.7526 0.5051
Ni4 0.0000 0.7533 0.0000
Ni5 0.4924 0.2474 0.4949
Ni6 0.5406 0.8603 0.2181
Ni7 0.5406 0.3578 0.2181
Ni8 0.0000 0.2467 0.0000
Pt1 0.0514 0.3570 0.7140
Pt2 0.9486 0.6430 0.2860

# 2
This record from Alexandria via LeMat-Bulk describes an optimized crystal structure of Ca2YErTe4. The functional is PBE.

## Properties
Uncorrected formation energy in eV per atom: -1.45

Cell: 4.3867 7.5917 7.7468 Å, 109.14 90.00 90.00°
Element x y z (fractional)
Te1 0.5000 0.2504 0.2447
Te2 0.0000 0.7460 0.2432
Te3 0.5000 0.7496 0.7553
Te4 0.0000 0.2540 0.7568
Er1 0.5000 0.5000 0.0000
Ca1 0.0000 0.5000 0.5000
Ca2 0.5000 0.0000 0.5000
Y1 0.0000 0.0000 0.0000